[1]
# ZrRePb2

A crystal of ZrRePb2 relaxed with PBEsol (SCAN, Alexandria via LeMat-Bulk).

Summary:
calculated volume = 21.3 Å³ per atom
symmetry = Cmmm (65)
relative energy among the computed polymorphs = 39 meV per atom
ρ = 13.5 g/cm³
total energy = -62.68 eV per atom
magnetic moment = 0.00 μB/cell

Lattice parameters (Å, degrees): 3.195 3.195 9.383 90.00 90.00 117.19
Atoms (fractional coordinates):
Pb1 0.000 0.000 0.734
Pb2 0.000 0.000 0.266
Zr1 0.500 0.500 0.000
Re1 0.500 0.500 0.500

[2]
# ZrRePb2

A crystal of ZrRePb2 relaxed with PBEsol (SCAN, Alexandria via LeMat-Bulk).

Summary:
calculated volume = 21.0 Å³ per atom
symmetry = R-3m (166)
relative energy among the computed polymorphs = 0 meV per atom
ρ = 13.7 g/cm³
total energy = -62.72 eV per atom
magnetic moment = 0.00 μB/cell

Lattice parameters (Å, degrees): 3.257 3.257 9.325 79.94 79.94 60.00
Atoms (fractional coordinates):
Pb1 0.757 0.757 0.730
Pb2 0.243 0.243 0.270
Zr1 0.000 0.000 0.000
Re1 0.500 0.500 0.500

[3]
# RhPb

A crystal of RhPb relaxed with PBEsol (SCAN, Alexandria via LeMat-Bulk).

Summary:
calculated volume = 18.2 Å³ per atom
symmetry = Pm-3m (221)
ρ = 14.1 g/cm³
total energy = -54.60 eV per atom
magnetic moment = 0.00 μB/cell

Lattice parameters (Å, degrees): 3.316 3.316 3.316 90.00 90.00 90.00
Atoms (fractional coordinates):
Pb1 0.000 0.000 0.000
Rh1 0.500 0.500 0.500

[4]
# Rh3Pb

A crystal of Rh3Pb relaxed with PBEsol (SCAN, Alexandria via LeMat-Bulk).

Summary:
calculated volume = 15.7 Å³ per atom
symmetry = Pmmm (47)
ρ = 13.6 g/cm³
total energy = -44.06 eV per atom
magnetic moment = 0.00 μB/cell

Lattice parameters (Å, degrees): 2.918 3.758 5.737 90.00 90.00 90.00
Atoms (fractional coordinates):
Pb1 0.000 0.000 0.000
Rh1 0.000 0.000 0.500
Rh2 0.500 0.500 0.726
Rh3 0.500 0.500 0.274

[5]
# Rh3Pb

A crystal of Rh3Pb relaxed with PBEsol (SCAN, Alexandria via LeMat-Bulk).

Summary:
calculated volume = 15.5 Å³ per atom
symmetry = P6_3/mmc (194)
ρ = 13.8 g/cm³
total energy = -44.18 eV per atom
magnetic moment = 0.00 μB/cell

Lattice parameters (Å, degrees): 4.486 5.654 5.654 120.00 90.00 90.00
Atoms (fractional coordinates):
Rh1 0.250 0.840 0.160
Rh2 0.250 0.320 0.160
Rh3 0.750 0.680 0.840
Rh4 0.750 0.160 0.840
Rh5 0.250 0.840 0.680
Pb1 0.250 0.333 0.667
Pb2 0.750 0.667 0.333
Rh6 0.750 0.160 0.320

[6]
# Rh7Pb

A crystal of Rh7Pb relaxed with PBEsol (SCAN, Alexandria via LeMat-Bulk).

Summary:
calculated volume = 14.4 Å³ per atom
symmetry = Fm-3m (225)
ρ = 13.3 g/cm³
total energy = -38.94 eV per atom
magnetic moment = 0.00 μB/cell

Lattice parameters (Å, degrees): 5.464 5.464 5.464 60.00 60.00 60.00
Atoms (fractional coordinates):
Pb1 0.000 0.000 0.000
Rh1 0.500 0.000 0.000
Rh2 0.500 0.500 0.000
Rh3 0.000 0.500 0.000
Rh4 0.000 0.500 0.500
Rh5 0.500 0.000 0.500
Rh6 0.000 0.000 0.500
Rh7 0.500 0.500 0.500

[7]
# Rh5Pb

A crystal of Rh5Pb relaxed with PBEsol (SCAN, Alexandria via LeMat-Bulk).

Summary:
calculated volume = 14.8 Å³ per atom
symmetry = Cmmm (65)
ρ = 13.5 g/cm³
total energy = -40.68 eV per atom
magnetic moment = 0.00 μB/cell

Lattice parameters (Å, degrees): 3.884 3.887 6.196 90.00 108.27 90.00
Atoms (fractional coordinates):
Rh1 0.675 0.500 0.350
Rh2 0.173 0.000 0.345
Rh3 0.827 0.000 0.655
Rh4 0.000 0.500 0.000
Pb1 0.500 0.000 0.000
Rh5 0.325 0.500 0.650

[8]
# RhPb

A crystal of RhPb relaxed with PBEsol (SCAN, Alexandria via LeMat-Bulk).

Summary:
calculated volume = 20.4 Å³ per atom
symmetry = P6/mmm (191)
ρ = 12.6 g/cm³
total energy = -54.87 eV per atom
magnetic moment = 0.00 μB/cell

Lattice parameters (Å, degrees): 4.429 5.655 5.655 120.00 90.00 90.00
Atoms (fractional coordinates):
Pb1 0.500 0.667 0.333
Pb2 0.500 0.333 0.667
Pb3 0.000 0.000 0.000
Rh1 0.000 0.500 0.000
Rh2 0.000 0.000 0.500
Rh3 0.000 0.500 0.500